# CaAc4Sm2

Crystalline CaAc4Sm2 at its relaxed geometry (GGA-PBE, Alexandria via LeMat-Bulk).

Cell and atoms, written as CIF:
```
data_CaAc4Sm2
_chemical_formula_sum 'Ca2 Ac8 Sm4'
_cell_length_a 3.864
_cell_length_b 8.761
_cell_length_c 18.068
_cell_angle_alpha 90.00
_cell_angle_beta 90.00
_cell_angle_gamma 102.74
_symmetry_space_group_name_H-M 'P 1'
_symmetry_Int_Tables_number 1
loop_
_symmetry_equiv_pos_as_xyz
'x,y,z'
loop_
_atom_site_label
_atom_site_fract_x
_atom_site_fract_y
_atom_site_fract_z
Ac1 0.139 0.278 0.864
Sm1 0.183 0.366 0.060
Sm2 0.817 0.634 0.940
Sm3 0.817 0.634 0.560
Sm4 0.183 0.366 0.440
Ac2 0.217 0.435 0.250
Ac3 0.500 0.000 0.000
Ac4 0.861 0.722 0.136
Ac5 0.783 0.565 0.750
Ca1 0.473 0.945 0.750
Ac6 0.500 0.000 0.500
Ac7 0.861 0.722 0.364
Ca2 0.527 0.055 0.250
Ac8 0.139 0.278 0.636
```

Summary:
DOS at the Fermi energy = 1.19 states/eV per atom
Calculated volume = 42.61 Å³ per atom
E_tot = -3.8457 eV/atom

=====

# CaAcSm2

Crystalline CaAcSm2 at its relaxed geometry (GGA-PBE, Alexandria via LeMat-Bulk).

Cell and atoms, written as CIF:
```
data_CaAcSm2
_chemical_formula_sum 'Ca1 Ac1 Sm2'
_cell_length_a 3.818
_cell_length_b 3.818
_cell_length_c 10.457
_cell_angle_alpha 90.00
_cell_angle_beta 90.00
_cell_angle_gamma 90.00
_symmetry_space_group_name_H-M 'P 1'
_symmetry_Int_Tables_number 1
loop_
_symmetry_equiv_pos_as_xyz
'x,y,z'
loop_
_atom_site_label
_atom_site_fract_x
_atom_site_fract_y
_atom_site_fract_z
Ac1 0.500 0.500 0.000
Ca1 0.500 0.500 0.500
Sm1 0.000 0.000 0.756
Sm2 0.000 0.000 0.244
```

Summary:
E above lowest polymorph = 17.4 meV per atom
DOS at the Fermi energy = 1.73 states/eV per atom
Calculated volume = 38.11 Å³ per atom

=====

# CaAc7Sm4

Crystalline CaAc7Sm4 at its relaxed geometry (GGA-PBE, Alexandria via LeMat-Bulk).

Cell and atoms, written as CIF:
```
data_CaAc7Sm4
_chemical_formula_sum 'Ca1 Ac7 Sm4'
_cell_length_a 7.762
_cell_length_b 10.298
_cell_length_c 9.640
_cell_angle_alpha 80.85
_cell_angle_beta 89.28
_cell_angle_gamma 40.93
_symmetry_space_group_name_H-M 'P 1'
_symmetry_Int_Tables_number 1
loop_
_symmetry_equiv_pos_as_xyz
'x,y,z'
loop_
_atom_site_label
_atom_site_fract_x
_atom_site_fract_y
_atom_site_fract_z
Ac1 0.754 0.504 0.007
Sm1 0.535 0.722 0.337
Ac2 0.224 0.776 0.662
Sm2 0.465 0.278 0.663
Ac3 0.500 0.000 0.000
Ac4 0.246 0.496 0.993
Sm3 0.719 0.780 0.667
Ca1 0.000 0.000 0.000
Ac5 0.776 0.224 0.338
Sm4 0.281 0.220 0.333
Ac6 0.025 0.716 0.340
Ac7 0.975 0.284 0.660
```

Summary:
DOS at the Fermi energy = 1.47 states/eV per atom
Calculated volume = 40.96 Å³ per atom
E_tot = -4.0952 eV/atom

=====

# CaAc2Sm3

Crystalline CaAc2Sm3 at its relaxed geometry (GGA-PBE, Alexandria via LeMat-Bulk).

Cell and atoms, written as CIF:
```
data_CaAc2Sm3
_chemical_formula_sum 'Ca2 Ac4 Sm6'
_cell_length_a 3.797
_cell_length_b 10.137
_cell_length_c 13.030
_cell_angle_alpha 109.05
_cell_angle_beta 90.00
_cell_angle_gamma 100.79
_symmetry_space_group_name_H-M 'P 1'
_symmetry_Int_Tables_number 1
loop_
_symmetry_equiv_pos_as_xyz
'x,y,z'
loop_
_atom_site_label
_atom_site_fract_x
_atom_site_fract_y
_atom_site_fract_z
Sm1 0.087 0.175 0.385
Sm2 0.418 0.836 0.384
Sm3 0.913 0.825 0.615
Sm4 0.582 0.164 0.616
Sm5 0.247 0.494 0.614
Ca1 0.140 0.280 0.131
Ac1 0.476 0.951 0.140
Ac2 0.191 0.382 0.865
Ac3 0.524 0.049 0.860
Ac4 0.809 0.618 0.135
Ca2 0.860 0.720 0.869
Sm6 0.753 0.506 0.386
```

Summary:
DOS at the Fermi energy = 1.53 states/eV per atom
Calculated volume = 38.73 Å³ per atom
E_tot = -4.0142 eV/atom

=====

- What is the DOS at the Fermi energy in the first record?
  1.19 states/eV per atom